Entry 1:
DFT (PBE) results for a relaxed structure of Ac2LaSm5Er.

a = 10.627 Å, b = 10.627 Å, c = 10.990 Å
α = 90.00°, β = 90.00°, γ = 148.05°
Element x y z (fractional)
Ac  0.115  0.885  0.500
Ac  0.116  0.884  0.088
Ac  0.884  0.116  0.588
Ac  0.885  0.115  0.000
La  0.414  0.586  0.234
La  0.586  0.414  0.734
Sm  0.019  0.981  0.794
Sm  0.282  0.718  0.084
Sm  0.296  0.704  0.477
Sm  0.386  0.614  0.789
Sm  0.484  0.516  0.511
Sm  0.516  0.484  0.011
Sm  0.614  0.386  0.289
Sm  0.704  0.296  0.977
Sm  0.718  0.282  0.584
Sm  0.981  0.019  0.294
Er  0.206  0.794  0.781
Er  0.794  0.206  0.281

For the density of states at the Fermi level, the calculation gives 25.6 states/eV per cell. For the energy of formation, the calculation gives 14 kJ per mole of atoms.

=====

Entry 2:
DFT (PBE) results for a relaxed structure of AcLaSmEr.

a = 3.752 Å, b = 3.752 Å, c = 12.002 Å
α = 90.00°, β = 90.00°, γ = 120.00°
Element x y z (fractional)
Ac  0.000  0.000  0.000
La  0.667  0.333  0.507
Sm  0.333  0.667  0.258
Er  0.333  0.667  0.749

For the density of states at the Fermi level, the calculation gives 5.4 states/eV per cell. The calculation puts the excess energy over the best structure of this formula in the dataset at 0.000 eV/atom. For the energy of formation, the calculation gives 6 kJ per mole of atoms.

=====

Entry 3:
DFT (PBE) results for a relaxed structure of AcLaSm4Er2.

a = 7.325 Å, b = 7.342 Å, c = 10.337 Å
α = 90.00°, β = 90.05°, γ = 90.00°
Element x y z (fractional)
Ac  0.000  0.000  0.000
Ac  0.000  0.500  0.500
La  0.000  0.000  0.500
La  0.500  0.000  0.500
Sm  0.257  0.254  0.245
Sm  0.257  0.254  0.755
Sm  0.257  0.746  0.245
Sm  0.257  0.746  0.755
Sm  0.743  0.254  0.245
Sm  0.743  0.254  0.755
Sm  0.743  0.746  0.245
Sm  0.743  0.746  0.755
Er  0.000  0.500  0.000
Er  0.500  0.000  0.000
Er  0.500  0.500  0.000
Er  0.500  0.500  0.500

For the density of states at the Fermi level, the calculation gives 24.9 states/eV per cell. For the energy of formation, the calculation gives 4 kJ per mole of atoms.

=====

Entry 4:
DFT (PBE) results for a relaxed structure of AcLa6SmEr2.

a = 9.093 Å, b = 9.093 Å, c = 10.012 Å
α = 93.96°, β = 93.96°, γ = 117.12°
Element x y z (fractional)
Ac  0.028  0.972  0.750
Ac  0.972  0.028  0.250
La  0.007  0.552  0.684
La  0.109  0.752  0.052
La  0.248  0.891  0.448
La  0.297  0.510  0.878
La  0.448  0.993  0.816
La  0.490  0.703  0.622
La  0.510  0.297  0.378
La  0.552  0.007  0.184
La  0.703  0.490  0.122
La  0.752  0.109  0.552
La  0.891  0.248  0.948
La  0.993  0.448  0.316
Sm  0.409  0.591  0.250
Sm  0.591  0.409  0.750
Er  0.201  0.301  0.547
Er  0.301  0.201  0.047
Er  0.699  0.799  0.953
Er  0.799  0.699  0.453

For the density of states at the Fermi level, the calculation gives 30.3 states/eV per cell. For the energy of formation, the calculation gives 10 kJ per mole of atoms.

=====

Entry 5:
DFT (PBE) results for a relaxed structure of Ac2La5SmEr.

a = 11.692 Å, b = 11.692 Å, c = 10.645 Å
α = 90.00°, β = 90.00°, γ = 151.87°
Element x y z (fractional)
Ac  0.115  0.885  0.514
Ac  0.115  0.885  0.986
Ac  0.885  0.115  0.014
Ac  0.885  0.115  0.486
La  0.006  0.994  0.250
La  0.277  0.723  0.561
La  0.277  0.723  0.939
La  0.376  0.624  0.250
La  0.500  0.500  0.000
La  0.500  0.500  0.500
La  0.624  0.376  0.750
La  0.723  0.277  0.061
La  0.723  0.277  0.439
La  0.994  0.006  0.750
Sm  0.213  0.787  0.250
Sm  0.787  0.213  0.750
Er  0.397  0.603  0.750
Er  0.603  0.397  0.250

For the density of states at the Fermi level, the calculation gives 27.1 states/eV per cell. For the energy of formation, the calculation gives 10 kJ per mole of atoms.

=====

Entry 6:
DFT (PBE) results for a relaxed structure of AcLa5SmEr2.

a = 12.585 Å, b = 12.585 Å, c = 9.632 Å
α = 90.00°, β = 90.00°, γ = 154.01°
Element x y z (fractional)
Ac  0.104  0.896  0.500
Ac  0.896  0.104  0.000
La  0.026  0.974  0.831
La  0.106  0.894  0.108
La  0.187  0.813  0.804
La  0.240  0.760  0.425
La  0.493  0.507  0.615
La  0.507  0.493  0.115
La  0.760  0.240  0.925
La  0.813  0.187  0.304
La  0.894  0.106  0.608
La  0.974  0.026  0.331
Sm  0.272  0.728  0.106
Sm  0.728  0.272  0.606
Er  0.327  0.673  0.744
Er  0.388  0.612  0.369
Er  0.612  0.388  0.869
Er  0.673  0.327  0.244

For the density of states at the Fermi level, the calculation gives 25.5 states/eV per cell. For the energy of formation, the calculation gives 14 kJ per mole of atoms.